# Ba2AlH2 (PBE-GGA, optimized geometry)
# DFT total energy: -3.088 eV per atom
data_Ba2AlH2
_chemical_formula_sum 'Ba4 Al2 H4'
_cell_length_a 4.2597
_cell_length_b 4.2597
_cell_length_c 15.2621
_cell_angle_alpha 90.00
_cell_angle_beta 90.00
_cell_angle_gamma 90.00
_space_group_name_H-M_alt 'I 4/m m m'
_space_group_IT_number 139
_space_group_name_Hall '-I 4 2'
loop_
_atom_site_label
_atom_site_type_symbol
_atom_site_fract_x
_atom_site_fract_y
_atom_site_fract_z
Ba1 Ba 0.0000 0.0000 0.1485
Al1 Al 0.0000 0.0000 0.5000
H1 H 0.0000 0.5000 0.2500

***

# SiRuCl2 (PBE-GGA, optimized geometry)
# uncorrected formation energy: -247 meV per atom
data_SiRuCl2
_chemical_formula_sum 'Si2 Ru2 Cl4'
_cell_length_a 6.7176
_cell_length_b 3.8950
_cell_length_c 8.4714
_cell_angle_alpha 90.00
_cell_angle_beta 105.48
_cell_angle_gamma 90.00
_space_group_name_H-M_alt 'C 1 m 1'
_space_group_IT_number 8
loop_
_space_group_symop_operation_xyz
'x,y,z'
'x,-y,z'
'x+1/2,y+1/2,z'
'x+1/2,-y+1/2,z'
loop_
_atom_site_label
_atom_site_type_symbol
_atom_site_fract_x
_atom_site_fract_y
_atom_site_fract_z
Si1 Si 0.0000 0.0000 0.0000
Ru1 Ru 0.3619 0.0000 0.0833
Cl1 Cl 0.4037 0.5000 0.7448
Cl2 Cl 0.4471 0.0000 0.3518

***

# Mn4VAu (PBE-GGA, optimized geometry)
# calculated formation energy: 99 meV/atom
data_Mn4VAu
_chemical_formula_sum 'Mn16 V4 Au4'
_cell_length_a 6.6924
_cell_length_b 6.6924
_cell_length_c 6.6924
_cell_angle_alpha 90.00
_cell_angle_beta 90.00
_cell_angle_gamma 90.00
_space_group_name_H-M_alt 'F -4 3 m'
_space_group_IT_number 216
_space_group_name_Hall 'F -4 2 3'
loop_
_atom_site_label
_atom_site_type_symbol
_atom_site_fract_x
_atom_site_fract_y
_atom_site_fract_z
Mn1 Mn 0.1242 0.1242 0.1242
V1 V 0.0000 0.0000 0.5000
Au1 Au 0.2500 0.2500 0.7500

***

# CsBeSe2O8 (PBE-GGA, optimized geometry)
# uncorrected formation energy: -975 meV per atom
data_CsBeSe2O8
_chemical_formula_sum 'Cs1 Be1 Se2 O8'
_cell_length_a 5.0116
_cell_length_b 5.0116
_cell_length_c 9.0614
_cell_angle_alpha 90.00
_cell_angle_beta 90.00
_cell_angle_gamma 120.00
_space_group_name_H-M_alt 'P -3'
_space_group_IT_number 147
loop_
_space_group_symop_operation_xyz
'x,y,z'
'-x,-y,-z'
'-y,x-y,z'
'y,-x+y,-z'
'-x+y,-x,z'
'x-y,x,-z'
loop_
_atom_site_label
_atom_site_type_symbol
_atom_site_fract_x
_atom_site_fract_y
_atom_site_fract_z
Cs1 Cs 0.0000 0.0000 0.0000
Be1 Be 0.0000 0.0000 0.5000
Se1 Se 0.3333 0.6667 0.6747
O1 O 0.0498 0.3173 0.6214
O2 O 0.3333 0.6667 0.8583